No. 1
{
  "formula": "Li2FeCuO4",
  "functional": "SCAN",
  "state": "single point on PBEsol structure",
  "lattice_angstrom": [[4.024, 0.000, 0.000], [0.000, 4.024, 0.000], [-2.012, -2.012, 4.131]],
  "species": ["O", "O", "O", "O", "Fe", "Cu", "Li", "Li"],
  "fractional_positions": [[0.991, 0.491, 0.983], [0.509, 0.009, 0.017], [0.778, 0.778, 0.556], [0.222, 0.222, 0.444], [0.000, 0.000, 0.000], [0.750, 0.250, 0.500], [0.250, 0.750, 0.500], [0.500, 0.500, 0.000]],
  "final_energy_ev_per_cell": -75.83,
  "crystal_system": "tetragonal",
  "magnetic_moment_mub_per_cell": 5.18,
  "raw_formation_energy_mev_per_atom": -1600,
  "space_group": "I-4m2 (119)"
}


No. 2
{
  "formula": "Li5Fe3Cu2O10",
  "functional": "SCAN",
  "state": "single point on PBEsol structure",
  "lattice_angstrom": [[4.963, 0.018, -0.098], [-0.846, 4.877, 0.122], [-1.769, -2.630, 6.997]],
  "species": ["Li", "Li", "Li", "Li", "Li", "Fe", "Fe", "Fe", "Cu", "Cu", "O", "O", "O", "O", "O", "O", "O", "O", "O", "O"],
  "fractional_positions": [[0.195, 0.926, 0.417], [0.394, 0.293, 0.784], [0.500, 0.500, 0.500], [0.606, 0.707, 0.216], [0.805, 0.074, 0.583], [0.000, 0.500, 0.000], [0.697, 0.912, 0.897], [0.303, 0.088, 0.103], [0.101, 0.684, 0.678], [0.899, 0.316, 0.322], [0.043, 0.121, 0.874], [0.361, 0.740, 0.955], [0.149, 0.299, 0.550], [0.231, 0.451, 0.213], [0.478, 0.912, 0.676], [0.522, 0.088, 0.324], [0.769, 0.549, 0.787], [0.851, 0.701, 0.450], [0.639, 0.260, 0.045], [0.957, 0.879, 0.126]],
  "final_energy_ev_per_cell": -191.44,
  "crystal_system": "triclinic",
  "magnetic_moment_mub_per_cell": 9.00,
  "raw_formation_energy_mev_per_atom": -1619,
  "space_group": "P-1 (2)"
}


No. 3
{
  "formula": "Li3Fe2Cu2O8",
  "functional": "SCAN",
  "state": "single point on PBEsol structure",
  "lattice_angstrom": [[5.445, -0.004, -0.071], [0.004, 5.446, 0.017], [2.584, 2.707, 4.598]],
  "species": ["Li", "Li", "Li", "Fe", "Fe", "Cu", "Cu", "O", "O", "O", "O", "O", "O", "O", "O"],
  "fractional_positions": [[0.000, 0.000, 0.500], [0.500, 0.500, 0.000], [0.000, 0.500, 0.500], [0.500, 0.500, 0.500], [0.500, 0.000, 0.500], [0.000, 0.000, 0.000], [0.500, 0.000, 0.000], [0.717, 0.729, 0.542], [0.737, 0.253, 0.494], [0.297, 0.819, 0.906], [0.297, 0.275, 0.906], [0.703, 0.725, 0.094], [0.703, 0.181, 0.094], [0.263, 0.747, 0.506], [0.283, 0.271, 0.458]],
  "final_energy_ev_per_cell": -145.91,
  "crystal_system": "monoclinic",
  "magnetic_moment_mub_per_cell": 3.00,
  "raw_formation_energy_mev_per_atom": -1482,
  "space_group": "C2/m (12)"
}


No. 4
{
  "formula": "Li4FeCu3P4O16",
  "functional": "SCAN",
  "state": "single point on PBEsol structure",
  "lattice_angstrom": [[-0.428, -2.358, 4.036], [5.492, -2.264, -0.740], [3.869, 7.813, 4.810]],
  "species": ["Li", "Li", "Li", "Li", "Fe", "Cu", "Cu", "Cu", "P", "P", "P", "P", "O", "O", "O", "O", "O", "O", "O", "O", "O", "O", "O", "O", "O", "O", "O", "O"],
  "fractional_positions": [[0.998, 0.253, 0.007], [0.998, 0.747, 0.007], [0.505, 0.746, 0.492], [0.505, 0.254, 0.492], [0.983, 0.000, 0.719], [0.024, 0.500, 0.282], [0.453, 0.500, 0.783], [0.535, 0.000, 0.219], [0.081, 0.000, 0.403], [0.418, 0.000, 0.906], [0.573, 0.500, 0.095], [0.928, 0.500, 0.597], [0.204, 0.000, 0.551], [0.217, 0.207, 0.335], [0.217, 0.793, 0.335], [0.256, 0.500, 0.600], [0.246, 0.500, 0.097], [0.273, 0.201, 0.831], [0.273, 0.799, 0.831], [0.301, 0.000, 0.050], [0.689, 0.500, 0.949], [0.714, 0.705, 0.166], [0.714, 0.295, 0.166], [0.744, 0.000, 0.899], [0.754, 0.000, 0.402], [0.800, 0.710, 0.668], [0.800, 0.290, 0.668], [0.798, 0.500, 0.453]],
  "final_energy_ev_per_cell": -274.06,
  "crystal_system": "monoclinic",
  "magnetic_moment_mub_per_cell": 7.00,
  "raw_formation_energy_mev_per_atom": -2124,
  "space_group": "Pm (6)"
}


No. 5
{
  "formula": "Li2FeCuP2O8",
  "functional": "SCAN",
  "state": "single point on PBEsol structure",
  "lattice_angstrom": [[-3.653, -2.316, -1.817], [-1.973, -1.222, 5.527], [-5.204, 8.563, 0.036]],
  "species": ["Li", "Li", "Li", "Li", "Fe", "Fe", "Cu", "Cu", "P", "P", "P", "P", "O", "O", "O", "O", "O", "O", "O", "O", "O", "O", "O", "O", "O", "O", "O", "O"],
  "fractional_positions": [[0.000, 0.000, 0.000], [0.000, 0.500, 0.000], [0.500, 0.000, 0.500], [0.500, 0.500, 0.500], [0.518, 0.750, 0.781], [0.482, 0.250, 0.219], [0.049, 0.250, 0.718], [0.951, 0.750, 0.282], [0.575, 0.250, 0.904], [0.082, 0.750, 0.595], [0.918, 0.250, 0.405], [0.425, 0.750, 0.096], [0.290, 0.750, 0.952], [0.248, 0.250, 0.905], [0.701, 0.039, 0.835], [0.701, 0.461, 0.835], [0.227, 0.548, 0.669], [0.227, 0.952, 0.669], [0.755, 0.750, 0.601], [0.805, 0.250, 0.549], [0.195, 0.750, 0.451], [0.245, 0.250, 0.399], [0.773, 0.048, 0.331], [0.773, 0.452, 0.331], [0.299, 0.539, 0.165], [0.299, 0.961, 0.165], [0.752, 0.750, 0.095], [0.710, 0.250, 0.048]],
  "final_energy_ev_per_cell": -278.68,
  "crystal_system": "monoclinic",
  "magnetic_moment_mub_per_cell": 10.00,
  "raw_formation_energy_mev_per_atom": -2185,
  "space_group": "P2_1/m (11)"
}


No. 6
{
  "formula": "Li4Fe3CuP4O16",
  "functional": "SCAN",
  "state": "single point on PBEsol structure",
  "lattice_angstrom": [[-2.922, -0.727, -3.591], [1.124, -5.856, 0.271], [-7.650, -1.166, 6.542]],
  "species": ["Li", "Li", "Li", "Li", "Fe", "Fe", "Fe", "Cu", "P", "P", "P", "P", "O", "O", "O", "O", "O", "O", "O", "O", "O", "O", "O", "O", "O", "O", "O", "O"],
  "fractional_positions": [[0.002, 0.247, 0.008], [0.002, 0.753, 0.008], [0.497, 0.755, 0.492], [0.497, 0.245, 0.492], [0.520, 0.000, 0.782], [0.483, 0.500, 0.220], [0.022, 0.500, 0.720], [0.960, 0.000, 0.284], [0.916, 0.500, 0.404], [0.580, 0.500, 0.905], [0.430, 0.000, 0.095], [0.076, 0.000, 0.596], [0.798, 0.500, 0.548], [0.774, 0.297, 0.333], [0.774, 0.703, 0.333], [0.748, 0.000, 0.599], [0.757, 0.000, 0.092], [0.714, 0.294, 0.831], [0.714, 0.706, 0.831], [0.713, 0.500, 0.045], [0.296, 0.000, 0.953], [0.302, 0.789, 0.164], [0.302, 0.211, 0.164], [0.254, 0.500, 0.904], [0.244, 0.500, 0.402], [0.211, 0.794, 0.671], [0.211, 0.206, 0.671], [0.202, 0.000, 0.456]],
  "final_energy_ev_per_cell": -282.86,
  "crystal_system": "monoclinic",
  "magnetic_moment_mub_per_cell": 13.00,
  "raw_formation_energy_mev_per_atom": -2229,
  "space_group": "Pm (6)"
}


No. 7
{
  "formula": "Li4Ti2Fe3Cu3O16",
  "functional": "SCAN",
  "state": "single point on PBEsol structure",
  "lattice_angstrom": [[5.889, 0.198, -0.131], [3.106, 5.007, -0.131], [-0.294, -0.170, 9.260]],
  "species": ["Li", "Li", "Li", "Li", "Ti", "Ti", "Fe", "Fe", "Fe", "Cu", "Cu", "Cu", "O", "O", "O", "O", "O", "O", "O", "O", "O", "O", "O", "O", "O", "O", "O", "O"],
  "fractional_positions": [[0.336, 0.336, 0.892], [0.012, 0.012, 0.000], [0.990, 0.990, 0.490], [0.644, 0.644, 0.390], [0.320, 0.320, 0.491], [0.678, 0.678, 0.995], [0.174, 0.174, 0.221], [0.823, 0.346, 0.713], [0.346, 0.823, 0.713], [0.665, 0.166, 0.212], [0.166, 0.665, 0.212], [0.832, 0.832, 0.714], [0.669, 0.170, 0.606], [0.464, 0.464, 0.346], [0.321, 0.321, 0.122], [0.015, 0.015, 0.298], [0.026, 0.026, 0.810], [0.170, 0.669, 0.606], [0.458, 0.020, 0.357], [0.020, 0.458, 0.357], [0.850, 0.850, 0.084], [0.153, 0.153, 0.605], [0.960, 0.515, 0.825], [0.515, 0.960, 0.825], [0.641, 0.641, 0.596], [0.869, 0.359, 0.094], [0.524, 0.524, 0.839], [0.359, 0.869, 0.094]],
  "final_energy_ev_per_cell": -293.13,
  "crystal_system": "monoclinic",
  "magnetic_moment_mub_per_cell": 4.94,
  "raw_formation_energy_mev_per_atom": -1851,
  "space_group": "Cm (8)"
}


No. 8
{
  "formula": "Li4Ti3Fe2Cu3O16",
  "functional": "SCAN",
  "state": "single point on PBEsol structure",
  "lattice_angstrom": [[-2.538, -2.338, -4.699], [2.925, -3.651, -3.480], [-2.863, -7.517, 4.730]],
  "species": ["Li", "Li", "Li", "Li", "Ti", "Ti", "Ti", "Fe", "Fe", "Cu", "Cu", "Cu", "O", "O", "O", "O", "O", "O", "O", "O", "O", "O", "O", "O", "O", "O", "O", "O"],
  "fractional_positions": [[0.341, 0.341, 0.898], [0.025, 0.025, 0.982], [0.996, 0.996, 0.494], [0.659, 0.659, 0.402], [0.659, 0.160, 0.216], [0.160, 0.659, 0.216], [0.825, 0.825, 0.724], [0.325, 0.325, 0.491], [0.660, 0.660, 0.981], [0.173, 0.173, 0.205], [0.830, 0.340, 0.702], [0.340, 0.830, 0.702], [0.632, 0.155, 0.593], [0.475, 0.475, 0.345], [0.344, 0.344, 0.101], [0.003, 0.003, 0.303], [0.003, 0.003, 0.791], [0.155, 0.632, 0.593], [0.489, 0.041, 0.353], [0.041, 0.489, 0.353], [0.831, 0.831, 0.110], [0.166, 0.166, 0.580], [0.965, 0.539, 0.863], [0.539, 0.965, 0.863], [0.669, 0.669, 0.608], [0.815, 0.349, 0.093], [0.532, 0.532, 0.855], [0.349, 0.815, 0.093]],
  "final_energy_ev_per_cell": -295.87,
  "crystal_system": "monoclinic",
  "magnetic_moment_mub_per_cell": 5.00,
  "raw_formation_energy_mev_per_atom": -2024,
  "space_group": "Cm (8)"
}